1.
Material: Tb3GaRh
Method: DFT, GGA-PBE
State: relaxed

a = 4.695 Å, b = 6.262 Å, c = 9.222 Å
α = 97.44°, β = 90.00°, γ = 112.01°
Positions (direct):
Tb 0.410 0.820 0.137
Tb 0.153 0.305 0.597
Tb 0.872 0.743 0.823
Tb 0.128 0.257 0.177
Tb 0.590 0.180 0.863
Tb 0.847 0.695 0.403
Ga 0.580 0.160 0.408
Ga 0.420 0.840 0.592
Rh 0.767 0.534 0.106
Rh 0.233 0.466 0.894

2.
Material: Tb12Ga6Rh
Method: DFT, GGA-PBE
State: relaxed

a = 8.421 Å, b = 8.421 Å, c = 8.421 Å
α = 99.52°, β = 99.52°, γ = 99.52°
Positions (direct):
Tb 0.819 0.571 0.432
Tb 0.432 0.819 0.571
Tb 0.571 0.432 0.819
Tb 0.181 0.429 0.568
Tb 0.568 0.181 0.429
Tb 0.429 0.568 0.181
Tb 0.070 0.959 0.318
Tb 0.041 0.682 0.930
Tb 0.682 0.930 0.041
Tb 0.930 0.041 0.682
Tb 0.959 0.318 0.070
Tb 0.318 0.070 0.959
Ga 0.699 0.864 0.378
Ga 0.622 0.301 0.136
Ga 0.136 0.622 0.301
Ga 0.301 0.136 0.622
Ga 0.378 0.699 0.864
Ga 0.864 0.378 0.699
Rh 0.000 0.000 0.000

3.
Material: TbGaRh
Method: DFT, GGA-PBE
State: relaxed

a = 3.328 Å, b = 3.328 Å, c = 5.676 Å
α = 107.05°, β = 107.05°, γ = 90.00°
Positions (direct):
Tb 0.609 0.609 0.219
Rh 0.928 0.928 0.855
Ga 0.313 0.313 0.626

4.
Material: TbGa4Rh2
Method: DFT, GGA-PBE
State: relaxed

a = 4.191 Å, b = 6.804 Å, c = 16.581 Å
α = 90.00°, β = 90.00°, γ = 90.00°
Positions (direct):
Rh 0.250 0.759 0.558
Rh 0.750 0.241 0.442
Rh 0.750 0.259 0.942
Rh 0.250 0.741 0.058
Rh 0.250 0.101 0.805
Rh 0.750 0.899 0.195
Rh 0.750 0.601 0.695
Rh 0.250 0.399 0.305
Tb 0.750 0.069 0.642
Tb 0.250 0.931 0.358
Tb 0.250 0.569 0.858
Tb 0.750 0.431 0.142
Ga 0.250 0.377 0.675
Ga 0.750 0.623 0.325
Ga 0.750 0.877 0.825
Ga 0.250 0.123 0.175
Ga 0.250 0.812 0.708
Ga 0.750 0.188 0.292
Ga 0.750 0.312 0.792
Ga 0.250 0.688 0.208
Ga 0.250 0.141 0.523
Ga 0.750 0.859 0.477
Ga 0.750 0.641 0.977
Ga 0.250 0.359 0.023
Ga 0.250 0.503 0.446
Ga 0.750 0.497 0.554
Ga 0.750 0.003 0.054
Ga 0.250 0.997 0.946

5.
Material: Tb2Ga6Rh
Method: DFT, GGA-PBE
State: relaxed

a = 5.705 Å, b = 5.844 Å, c = 5.844 Å
α = 59.99°, β = 90.03°, γ = 90.03°
Positions (direct):
Tb 0.847 0.667 0.667
Tb 0.153 0.333 0.333
Ga 0.319 0.352 0.824
Ga 0.319 0.824 0.824
Ga 0.319 0.824 0.352
Ga 0.681 0.648 0.176
Ga 0.681 0.176 0.176
Ga 0.681 0.176 0.648
Rh 0.000 0.000 0.000

6.
Material: Tb3Ga2Rh5
Method: DFT, GGA-PBE
State: relaxed

a = 3.613 Å, b = 10.042 Å, c = 10.042 Å
α = 90.00°, β = 90.00°, γ = 90.00°
Positions (direct):
Tb 0.000 0.327 0.827
Tb 0.000 0.673 0.173
Tb 0.000 0.173 0.327
Tb 0.000 0.827 0.673
Tb 0.000 0.000 0.000
Tb 0.000 0.500 0.500
Ga 0.000 0.123 0.623
Ga 0.000 0.877 0.377
Ga 0.000 0.377 0.123
Ga 0.000 0.623 0.877
Rh 0.500 0.213 0.071
Rh 0.500 0.787 0.929
Rh 0.500 0.929 0.213
Rh 0.500 0.071 0.787
Rh 0.500 0.287 0.571
Rh 0.500 0.713 0.429
Rh 0.500 0.571 0.713
Rh 0.500 0.429 0.287
Rh 0.500 0.000 0.500
Rh 0.500 0.500 0.000

7.
Material: TbGa2Rh2
Method: DFT, GGA-PBE
State: relaxed

a = 4.257 Å, b = 4.257 Å, c = 10.048 Å
α = 90.00°, β = 90.00°, γ = 90.00°
Positions (direct):
Tb 0.500 0.000 0.237
Tb 0.000 0.500 0.763
Ga 0.500 0.500 0.500
Ga 0.000 0.000 0.500
Ga 0.000 0.500 0.127
Ga 0.500 0.000 0.873
Rh 0.000 0.500 0.370
Rh 0.500 0.000 0.630
Rh 0.500 0.500 0.000
Rh 0.000 0.000 0.000

Computed properties:
Its energy above the lowest structure with this stoichiometry is 2 kJ/mol of formula units.

8.
Material: TbGaRh
Method: DFT, GGA-PBE
State: relaxed

a = 3.625 Å, b = 4.375 Å, c = 4.375 Å
α = 120.00°, β = 90.00°, γ = 90.00°
Positions (direct):
Rh 0.166 0.000 0.000
Tb 0.667 0.333 0.667
Ga 0.167 0.667 0.333

9.
Material: Tb3Ga12Rh
Method: DFT, GGA-PBE
State: relaxed

a = 4.341 Å, b = 4.341 Å, c = 15.887 Å
α = 90.00°, β = 90.00°, γ = 90.00°
Positions (direct):
Tb 0.000 0.000 0.232
Tb 0.000 0.000 0.500
Tb 0.000 0.000 0.768
Ga 0.500 0.500 0.000
Ga 0.500 0.500 0.236
Ga 0.500 0.500 0.500
Ga 0.500 0.500 0.764
Ga 0.500 0.000 0.100
Ga 0.500 0.000 0.367
Ga 0.500 0.000 0.633
Ga 0.500 0.000 0.900
Ga 0.000 0.500 0.100
Ga 0.000 0.500 0.367
Ga 0.000 0.500 0.633
Ga 0.000 0.500 0.900
Rh 0.000 0.000 0.000

10.
Material: TbGa7Rh2
Method: DFT, GGA-PBE
State: relaxed

a = 4.170 Å, b = 7.783 Å, c = 7.783 Å
α = 121.29°, β = 90.00°, γ = 90.00°
Positions (direct):
Tb 0.000 0.000 0.000
Ga 0.000 0.770 0.230
Ga 0.000 0.230 0.770
Ga 0.500 0.039 0.325
Ga 0.500 0.961 0.675
Ga 0.500 0.325 0.039
Ga 0.500 0.675 0.961
Ga 0.500 0.500 0.500
Rh 0.500 0.677 0.323
Rh 0.500 0.323 0.677

11.
Material: Tb4Ga3Rh
Method: DFT, GGA-PBE
State: relaxed

a = 4.205 Å, b = 4.189 Å, c = 10.673 Å
α = 90.00°, β = 90.00°, γ = 90.00°
Positions (direct):
Tb 0.500 0.500 0.347
Tb 0.000 0.500 0.867
Tb 0.000 0.000 0.138
Tb 0.500 0.000 0.644
Ga 0.000 0.500 0.575
Ga 0.000 0.000 0.425
Ga 0.500 0.000 0.927
Rh 0.500 0.500 0.078

12.
Material: Tb2Ga5Rh4
Method: DFT, GGA-PBE
State: relaxed

a = 5.346 Å, b = 5.476 Å, c = 8.302 Å
α = 80.96°, β = 71.22°, γ = 60.79°
Positions (direct):
Tb 0.849 0.000 0.302
Tb 0.151 0.000 0.698
Ga 0.500 0.000 0.000
Ga 0.000 0.500 0.000
Ga 0.500 0.500 0.000
Ga 0.250 0.500 0.500
Ga 0.750 0.500 0.500
Rh 0.470 0.314 0.746
Rh 0.530 0.686 0.254
Rh 0.216 0.314 0.254
Rh 0.784 0.686 0.746

| no. | calculated formation energy (eV per formula unit) | DOS at the Fermi energy (states/eV per atom) |
| --- | --- | --- |
| 1 | -2.84 | 0.77 |
| 2 | -5.10 | 1.17 |
| 3 | -2.04 | 0.64 |
| 4 | -5.02 | 0.39 |
| 5 | -5.41 | 0.76 |
| 6 | -8.29 | 0.46 |
| 7 | -4.02 | 0.74 |
| 8 | -2.33 | 0.94 |
| 9 | -7.45 | 0.30 |
| 10 | -1.99 | 0.45 |
| 11 | -5.34 | 0.89 |
| 12 | -7.83 | 0.63 |